one:
Sm2Dy2CI4Br: relaxed, GGA-PBE.

Lattice parameters (Å, degrees): 9.7755 9.7755 8.4541 102.18 102.18 23.31
Positions (direct):
Sm 0.1323 0.1323 0.0659
Sm 0.8677 0.8677 0.9341
Dy 0.4994 0.4994 0.1953
Dy 0.5006 0.5006 0.8047
C 0.0000 0.0000 0.0000
I 0.3342 0.3342 0.1933
I 0.3389 0.3389 0.6461
I 0.6611 0.6611 0.3539
I 0.6658 0.6658 0.8067
Br 0.0000 0.0000 0.5000

two:
Sm2Dy2CI4Br: relaxed, GGA-PBE.

Lattice parameters (Å, degrees): 9.9024 9.9024 8.4528 101.79 101.79 23.17
Positions (direct):
Sm 0.0008 0.0008 0.2982
Sm 0.9992 0.9992 0.7018
Dy 0.3733 0.3733 0.4371
Dy 0.6267 0.6267 0.5629
C 0.5000 0.5000 0.5000
I 0.1640 0.1640 0.8414
I 0.1682 0.1682 0.3219
I 0.8318 0.8318 0.6781
I 0.8360 0.8360 0.1586
Br 0.5000 0.5000 0.0000

Relative energies in kJ/mol of atoms: one 1.5; two 0.0